[1]
CaSi2Ag, relaxed, DFT GGA-PBE; uncorrected formation energy = 1.7 kJ/mol of atoms; E_tot = -3.908 eV per atom; space-group type = Pmmm (47)
1.0
3.4199 0.0000 0.0000
0.0000 3.7279 0.0000
0.0000 0.0000 6.3851
Ca Si Ag
1 2 1
Cartesian
0.0000 0.0000 0.0000
1.7099 1.8639 2.0058
1.7099 1.8639 4.3793
0.0000 0.0000 3.1926

---

[2]
Ca2SiAg, relaxed, DFT GGA-PBE; uncorrected formation energy = -3.3 kJ/mol of atoms; E_tot = -3.103 eV per atom; space-group type = F-43m (216)
1.0
0.0000 3.5705 3.5705
3.5705 0.0000 3.5705
3.5705 3.5705 0.0000
Ca Si Ag
2 1 1
Cartesian
0.0000 0.0000 0.0000
1.7852 1.7852 1.7852
3.5705 3.5705 3.5705
5.3557 5.3557 5.3557

---

[3]
CaSi2Ag, relaxed, DFT GGA-PBE; uncorrected formation energy = -3.3 kJ/mol of atoms; E_tot = -3.959 eV per atom; space-group type = Pmm2 (25)
1.0
3.1781 0.0000 0.0000
0.0000 4.6318 0.0000
0.0000 0.0000 5.2988
Ca Si Ag
1 2 1
Cartesian
0.0000 0.0000 0.0000
1.5891 0.0000 2.7394
1.5891 2.3159 3.9502
1.5891 2.3159 1.3283

---

[4]
CaSi2Ag, relaxed, DFT GGA-PBE; uncorrected formation energy = -12.9 kJ/mol of atoms; E_tot = -4.059 eV per atom; space-group type = C2/m (12)
1.0
4.1464 -1.9495 0.0000
4.1464 1.9495 0.0000
-1.9186 0.0000 5.2246
Ca Si Ag
1 2 1
Cartesian
0.0000 0.0000 0.0000
0.7518 0.0000 3.3470
5.6224 0.0000 1.8776
3.1871 0.0000 2.6123

---

[5]
CaSi2Ag, relaxed, DFT GGA-PBE; uncorrected formation energy = -29.8 kJ/mol of atoms; E_tot = -4.234 eV per atom; space-group type = Pnma (62)
1.0
6.8606 0.0000 0.0000
0.0000 4.3080 0.0000
0.0000 0.0000 10.9647
Ca Si Ag
4 8 4
Cartesian
0.9839 1.0770 1.5549
2.4464 3.2310 7.0372
4.4141 1.0770 3.9274
5.8767 3.2310 9.4098
0.1904 1.0770 7.2722
1.2362 1.0770 9.3610
2.1940 3.2310 3.8787
3.2398 3.2310 1.7899
3.6207 1.0770 9.1748
4.6665 1.0770 7.0860
5.6243 3.2310 1.6036
6.6701 3.2310 3.6925
1.0382 1.0770 4.8414
2.3920 3.2310 10.3237
4.4685 1.0770 0.6410
5.8223 3.2310 6.1233

---

[6]
Ca2Si2Ag, relaxed, DFT GGA-PBE; uncorrected formation energy = -35.4 kJ/mol of atoms; E_tot = -3.907 eV per atom; space-group type = P4/mbm (127); offset from the most stable computed form = 0.086 eV per atom
1.0
7.1098 0.0000 0.0000
0.0000 7.1098 0.0000
0.0000 0.0000 4.4315
Ca Si Ag
4 4 2
Cartesian
1.2407 2.3142 0.0000
2.3142 5.8691 0.0000
4.7956 1.2407 0.0000
5.8691 4.7956 0.0000
0.8552 4.4101 2.2157
2.6997 0.8552 2.2157
4.4101 6.2546 2.2157
6.2546 2.6997 2.2157
0.0000 0.0000 2.2157
3.5549 3.5549 2.2157

---

[7]
CaSi2Ag3, relaxed, DFT GGA-PBE; uncorrected formation energy = -10.6 kJ/mol of atoms; E_tot = -3.676 eV per atom; space-group type = Immm (71)
1.0
-2.1605 3.9494 6.7951
2.1605 -3.9494 6.7951
2.1605 3.9494 -6.7951
Ca Si Ag
2 4 6
Cartesian
0.0000 0.0000 1.8809
0.0000 0.0000 11.7092
2.1605 1.1621 0.0000
2.1605 0.0000 4.3427
0.0000 3.9494 2.4524
0.0000 2.7873 6.7951
2.1605 2.4085 -2.2768
0.0000 2.5761 0.0000
2.1605 2.4085 2.2768
0.0000 1.5409 4.5182
0.0000 5.3227 0.0000
0.0000 1.5409 9.0719

---

[8]
CaSiAg2, relaxed, DFT GGA-PBE; uncorrected formation energy = -8.1 kJ/mol of atoms; E_tot = -3.365 eV per atom; space-group type = Pm (6)
1.0
3.3678 0.0000 0.0000
0.0000 4.3969 0.0000
-1.6507 0.0000 5.5828
Ca Si Ag
1 1 2
Cartesian
0.0000 0.0000 0.0000
1.6845 2.1984 1.3320
0.0163 2.1984 3.6626
1.6906 0.0000 2.6094

---

Which value of E_tot does entry 6 give? -3.907 eV per atom

---

Which value of E_tot does entry 3 give? -3.959 eV per atom